Entry 1:
VASP calculation (PBE) on an optimized crystal structure of ThZr2H7.

Summary:
Total moment, μB/f.u.: 0.00
VASP energy, eV for the cell shown: -420.9

a b c (Å): 9.306 9.306 9.306
angles (deg): 90.00 90.00 90.00
Space group Fd-3m (No. 227, origin choice 2)
One atom of each set of equivalent atoms:
Th 0.125 0.125 0.125
Zr 0.000 0.000 0.500
H 0.123 0.375 0.375
H 0.125 0.125 0.625

Entry 2:
VASP calculation (PBE) on an optimized crystal structure of ThZr2H.

Summary:
Relative energy among the computed polymorphs, kJ per mole of atoms: 19.2
Total moment, μB/f.u.: 0.00

a b c (Å): 3.132 3.132 8.152
angles (deg): 90.00 90.00 90.00
Space group P4/mmm (No. 123)
One atom of each set of equivalent atoms:
Th 0.000 0.000 0.000
Zr 0.500 0.500 0.322
H 0.000 0.000 0.500